[1]
The following is a GGA-PBE calculation of Ho4GaSe2 after structural relaxation, from Alexandria.

a = 3.9528 Å, b = 6.8972 Å, c = 7.7927 Å
α = 116.63°, β = 104.69°, γ = 90.00°
With the nearest neighbours (Å) after each atom.
Element x y z (fractional)
Se1 0.2493 0.2600 0.4985  6 Ho 2.84-2.94
Se2 0.7507 0.7400 0.5015  6 Ho 2.84-2.94
Ga1 0.0000 0.0000 0.0000  6 Ho 2.84-2.87
Ho1 0.1154 0.4633 0.2309  1 Ga 2.84, 3 Se 2.85-2.94
Ho2 0.8846 0.5367 0.7691  1 Ga 2.84, 3 Se 2.85-2.94
Ho3 0.3771 0.0607 0.7542  3 Se 2.84-2.92, 2 Ga 2.87
Ho4 0.6229 0.9393 0.2458  3 Se 2.84-2.92, 2 Ga 2.87

Output
final energy: -35.8 eV per formula unit
M_tot: 0.00 μB per atom
symmetry: No. 12


[2]
The following is a GGA-PBE calculation of Ho7GaSe5 after structural relaxation, from Alexandria.

a = 3.9956 Å, b = 6.9537 Å, c = 24.0587 Å
α = 90.00°, β = 90.00°, γ = 106.69°
With the nearest neighbours (Å) after each atom.
Element x y z (fractional)
Se1 0.0002 0.0005 0.5000  6 Ho 2.86-3.12
Se2 0.2773 0.5543 0.0722  6 Ho 2.84-2.86
Se3 0.4479 0.8954 0.6423  6 Ho 2.79-2.87
Se4 0.0003 0.0007 0.0000  6 Ho 2.86-3.12
Se5 0.5526 0.1055 0.1422  6 Ho 2.79-2.87
Se6 0.2773 0.5542 0.4278  6 Ho 2.84-2.86
Se7 0.5526 0.1055 0.3578  6 Ho 2.79-2.88
Se8 0.7233 0.4470 0.9278  6 Ho 2.84-2.86
Se9 0.7232 0.4467 0.5722  6 Ho 2.84-2.86
Se10 0.4480 0.8958 0.8578  6 Ho 2.79-2.87
Ho1 0.4718 0.9439 0.2500  2 Se 2.81, 2 Ga 2.94
Ho2 0.0946 0.1887 0.6186  5 Se 2.85-3.12
Ho3 0.6393 0.2786 0.4635  6 Se 2.79-2.86
Ho4 0.9059 0.8123 0.3814  5 Se 2.85-3.12
Ho5 0.5288 0.0572 0.7500  2 Se 2.81, 2 Ga 2.94
Ho6 0.0948 0.1890 0.8813  5 Se 2.85-3.12
Ho7 0.9059 0.8123 0.1186  5 Se 2.85-3.12
Ho8 0.8088 0.6174 0.6805  3 Se 2.84-2.87, 2 Ga 3.04-3.05
Ho9 0.3613 0.7226 0.9634  6 Se 2.79-2.86
Ho10 0.6394 0.2787 0.0365  6 Se 2.79-2.86
Ho11 0.3611 0.7224 0.5366  6 Se 2.79-2.86
Ho12 0.1916 0.3835 0.1804  3 Se 2.84-2.87, 2 Ga 3.04-3.05
Ho13 0.1917 0.3836 0.3196  3 Se 2.84-2.88, 2 Ga 3.04-3.05
Ho14 0.8090 0.6178 0.8196  3 Se 2.84-2.87, 2 Ga 3.04-3.05
Ga1 0.8105 0.6198 0.2500  6 Ho 2.94-3.05
Ga2 0.1900 0.3813 0.7501  6 Ho 2.94-3.05

Output
final energy: -71.2 eV per formula unit
M_tot: 0.00 μB per atom
symmetry: No. 11


[3]
The following is a GGA-PBE calculation of Ho3GaSe after structural relaxation, from Alexandria.

a = 6.3563 Å, b = 10.2288 Å, c = 9.1024 Å
α = 117.96°, β = 90.00°, γ = 90.00°
With the nearest neighbours (Å) after each atom.
Element x y z (fractional)
Ho1 0.9117 0.2970 0.9244  1 Se 2.79, 2 Ga 2.92-3.10
Ho2 0.9313 0.8598 0.7407  3 Se 2.77-2.80
Ho3 0.0687 0.1402 0.2593  3 Se 2.77-2.80
Ho4 0.0883 0.7030 0.0756  1 Se 2.79, 2 Ga 2.92-3.10
Ho5 0.0830 0.5564 0.3198  2 Se 2.77-2.78
Ho6 0.5883 0.7970 0.4244  1 Se 2.79, 2 Ga 2.92-3.10
Ho7 0.4117 0.2030 0.5756  1 Se 2.79, 2 Ga 2.92-3.10
Ho8 0.4170 0.0564 0.8198  2 Se 2.77-2.78
Ho9 0.5687 0.3598 0.2407  3 Se 2.77-2.80
Ho10 0.9170 0.4436 0.6802  2 Se 2.77-2.78
Ho11 0.4313 0.6402 0.7593  3 Se 2.77-2.80
Ho12 0.5830 0.9436 0.1802  2 Se 2.77-2.78
Se1 0.2591 0.4050 0.4754  6 Ho 2.77-2.80
Se2 0.2409 0.9050 0.9754  6 Ho 2.77-2.80
Se3 0.7591 0.0950 0.0246  6 Ho 2.77-2.80
Se4 0.7409 0.5950 0.5246  6 Ho 2.77-2.80
Ga1 0.8437 0.0961 0.5460  1 Ga 2.64, 1 Ho 2.92
Ga2 0.3437 0.4039 0.9540  1 Ga 2.64, 1 Ho 2.92
Ga3 0.1563 0.9039 0.4540  1 Ga 2.64, 1 Ho 2.92
Ga4 0.6563 0.5961 0.0460  1 Ga 2.64, 1 Ho 2.92

Output
final energy: -24.0 eV per formula unit
M_tot: 0.00 μB per atom
symmetry: No. 14


[4]
The following is a GGA-PBE calculation of Ho6GaSe5 after structural relaxation, from Alexandria.

a = 7.0657 Å, b = 7.0657 Å, c = 7.0723 Å
α = 99.61°, β = 99.61°, γ = 119.73°
With the nearest neighbours (Å) after each atom.
Element x y z (fractional)
Se1 0.1704 0.8296 0.5000  6 Ho 2.89-2.94
Se2 0.6659 0.3341 0.0000  6 Ho 2.89-2.90
Se3 0.3341 0.6659 0.0000  6 Ho 2.89-2.90
Se4 0.8296 0.1704 0.5000  6 Ho 2.89-2.94
Se5 0.5000 0.5000 0.5000  6 Ho 2.89-2.98
Ho1 0.9196 0.5956 0.7570  1 Ga 2.80, 5 Se 2.89-2.94
Ho2 0.0804 0.4044 0.2430  1 Ga 2.80, 5 Se 2.89-2.94
Ho3 0.7589 0.7589 0.2439  1 Ga 2.80, 5 Se 2.89-2.98
Ho4 0.5956 0.9196 0.7570  1 Ga 2.80, 5 Se 2.89-2.94
Ho5 0.2411 0.2411 0.7561  1 Ga 2.80, 5 Se 2.89-2.98
Ho6 0.4044 0.0804 0.2430  1 Ga 2.80, 5 Se 2.89-2.94
Ga1 0.0000 0.0000 0.0000  6 Ho 2.80

Output
final energy: -67.0 eV per formula unit
M_tot: 0.00 μB per atom
symmetry: No. 12